This record from Alexandria describes a geometry-optimized TmPaAs2 structure. The functional is GGA-PBE.

Properties
Magnetic moment ... 0.000 μB per atom
ΔH_f (0 K) ... -486 kJ/mol of formula units
Excess energy over the best structure of this formula in the dataset ... 0.0 kJ per mole of atoms

a b c (Å): 4.0761 4.0761 19.9158
angles (deg): 90.00 90.00 120.00
Space group R-3m (No. 166, hexagonal axes)
Symmetry-distinct sites (fractional):
Tm: 0.0000 0.0000 0.0000 (multiplicity 3)
Pa: 0.0000 0.0000 0.5000 (multiplicity 3)
As: 0.0000 0.0000 0.2510 (multiplicity 6)